A relaxed La3Tb2In3 crystal. Source: Alexandria via LeMat-Bulk, functional PBE.

Cell: 3.4210 8.9913 8.9913 Å, 120.00 90.00 90.00°
Closest atoms and distances in Å follow each position.
Fractional positions:
La1 0.0000 0.2454 0.0000  4 La 3.42-3.82, 2 Tb 3.46, 6 In 3.52-3.70
La2 0.0000 0.0000 0.2454  4 La 3.42-3.82, 2 Tb 3.46, 6 In 3.52-3.70
La3 0.0000 0.7546 0.7546  4 La 3.42-3.82, 2 Tb 3.46, 6 In 3.52-3.70
Tb1 0.0000 0.3333 0.6667  6 In 3.26, 2 Tb 3.42, 3 La 3.46
Tb2 0.0000 0.6667 0.3333  6 In 3.26, 2 Tb 3.42, 3 La 3.46
In1 0.5000 0.3901 0.3901  4 Tb 3.26, 2 In 3.42, 4 La 3.52
In2 0.5000 0.6099 0.0000  4 Tb 3.26, 2 In 3.42, 4 La 3.52
In3 0.5000 0.0000 0.6099  4 Tb 3.26, 2 In 3.42, 4 La 3.52

Summary:
- ΔH_f (0 K) (eV per atom) = -0.357
- total energy (eV per atom) = -4.39
- magnetic moment (μB/cell) = 0.0